Entry 1:
Below is a relaxed Er2ThS4 crystal, with properties calculated at the PBE-GGA level.

Cell lengths 6.7075, 6.7075, 12.9589 Å; angles 90.00, 90.00, 146.53 degrees
Last column: nearest neighbours and their distance in Å.
Element x y z (fractional)
Er (0.1337, 0.8663, 0.5657)  6 S 2.70-2.73
Er (0.1337, 0.8663, 0.9343)  6 S 2.70-2.73
Er (0.8663, 0.1337, 0.0657)  6 S 2.70-2.73
Er (0.8663, 0.1337, 0.4343)  6 S 2.70-2.73
Th (0.3762, 0.6238, 0.7500)  6 S 2.81-2.87
Th (0.6238, 0.3762, 0.2500)  6 S 2.81-2.87
S (0.0355, 0.9645, 0.7500)  2 Er 2.70, 2 Th 2.81
S (0.2281, 0.7719, 0.1230)  3 Er 2.73, 2 Th 2.87
S (0.2281, 0.7719, 0.3770)  3 Er 2.73, 2 Th 2.87
S (0.5000, 0.5000, 0.0000)  4 Er 2.72
S (0.5000, 0.5000, 0.5000)  4 Er 2.72
S (0.7719, 0.2281, 0.6230)  3 Er 2.73, 2 Th 2.87
S (0.7719, 0.2281, 0.8770)  3 Er 2.73, 2 Th 2.87
S (0.9645, 0.0355, 0.2500)  2 Er 2.70, 2 Th 2.81

Computed properties:
theoretical density = 7.177 Mg/m³
space group = Cmcm
magnetization = 0.0 Bohr magnetons per cell
volume = 322 Å³ per cell
energy relative to the elements, uncorrected = -1959 meV/atom

Entry 2:
Below is a relaxed MgAs2Au crystal, with properties calculated at the PBE-GGA level.

Cell lengths 4.5982, 3.8862, 5.0342 Å; angles 90.00, 105.34, 90.00 degrees
Last column: nearest neighbours and their distance in Å.
Element x y z (fractional)
Mg (0.0000, 0.0000, 0.0000)  4 As 2.86, 2 Au 2.93
As (0.2313, 0.5000, 0.6923)  1 As 2.47, 2 Au 2.62
As (0.7687, 0.5000, 0.3077)  1 As 2.47, 2 Au 2.62
Au (0.5000, 0.0000, 0.5000)  4 As 2.62, 2 Mg 2.93

Computed properties:
theoretical density = 7.103 Mg/m³
space group = P2/m
magnetization = 0.0 Bohr magnetons per cell
formation energy = -0.64 eV/f.u.
volume = 87 Å³ per cell

Entry 3:
Below is a relaxed Pd6Pt23Pb crystal, with properties calculated at the PBE-GGA level.

Cell lengths 9.6527, 9.6527, 9.6527 Å; angles 131.68, 131.68, 70.73 degrees
Last column: nearest neighbours and their distance in Å.
Element x y z (fractional)
Pd (0.2486, 0.2486, 0.0000)  12 Pt 2.77-2.79
Pd (0.2511, 0.2511, 0.5023)  11 Pt 2.78-2.87, 1 Pb 2.81
Pd (0.2511, 0.7489, 0.0000)  11 Pt 2.78-2.87, 1 Pb 2.81
Pd (0.7489, 0.2511, 0.0000)  11 Pt 2.78-2.87, 1 Pb 2.81
Pd (0.7489, 0.7489, 0.4977)  11 Pt 2.78-2.87, 1 Pb 2.81
Pd (0.7514, 0.7514, 0.0000)  12 Pt 2.77-2.79
Pt (0.0000, 0.0000, 0.5000)  8 Pt 2.72-2.75, 2 Pd 2.79
Pt (0.0000, 0.5000, 0.0000)  8 Pt 2.72-2.75, 2 Pd 2.79
Pt (0.0000, 0.5000, 0.5000)  4 Pd 2.79, 8 Pt 2.80-2.82
Pt (0.1202, 0.3716, 0.7486)  8 Pt 2.72-2.83, 3 Pd 2.77-2.82
Pt (0.1299, 0.8685, 0.2614)  7 Pt 2.72-2.92, 3 Pd 2.77-2.87, 1 Pb 2.92
Pt (0.1315, 0.3929, 0.2614)  7 Pt 2.72-2.92, 3 Pd 2.77-2.87, 1 Pb 2.92
Pt (0.1315, 0.8701, 0.7386)  7 Pt 2.72-2.92, 3 Pd 2.77-2.87, 1 Pb 2.92
Pt (0.3716, 0.1202, 0.7486)  8 Pt 2.72-2.83, 3 Pd 2.77-2.82
Pt (0.3716, 0.6230, 0.2514)  8 Pt 2.72-2.83, 3 Pd 2.77-2.82
Pt (0.3770, 0.6284, 0.7486)  8 Pt 2.72-2.83, 3 Pd 2.77-2.82
Pt (0.3929, 0.1315, 0.2614)  7 Pt 2.72-2.92, 3 Pd 2.77-2.87, 1 Pb 2.92
Pt (0.5000, 0.0000, 0.0000)  8 Pt 2.72-2.75, 2 Pd 2.79
Pt (0.5000, 0.0000, 0.5000)  4 Pd 2.79, 8 Pt 2.80-2.82
Pt (0.5000, 0.5000, 0.0000)  4 Pd 2.78, 8 Pt 2.83
Pt (0.5000, 0.5000, 0.5000)  8 Pt 2.72-2.75, 2 Pd 2.79
Pt (0.6071, 0.8685, 0.7386)  7 Pt 2.72-2.92, 3 Pd 2.77-2.87, 1 Pb 2.92
Pt (0.6230, 0.3716, 0.2514)  8 Pt 2.72-2.83, 3 Pd 2.77-2.82
Pt (0.6284, 0.3770, 0.7486)  8 Pt 2.72-2.83, 3 Pd 2.77-2.82
Pt (0.6284, 0.8798, 0.2514)  8 Pt 2.72-2.83, 3 Pd 2.77-2.82
Pt (0.8685, 0.1299, 0.2614)  7 Pt 2.72-2.92, 3 Pd 2.77-2.87, 1 Pb 2.92
Pt (0.8685, 0.6071, 0.7386)  7 Pt 2.72-2.92, 3 Pd 2.77-2.87, 1 Pb 2.92
Pt (0.8701, 0.1315, 0.7386)  7 Pt 2.72-2.92, 3 Pd 2.77-2.87, 1 Pb 2.92
Pt (0.8798, 0.6284, 0.2514)  8 Pt 2.72-2.83, 3 Pd 2.77-2.82
Pb (0.0000, 0.0000, 0.0000)  4 Pd 2.81, 8 Pt 2.92

Computed properties:
theoretical density = 18.020 Mg/m³
space group = I4/mmm
magnetization = 0.0 Bohr magnetons per cell
formation energy = -0.05 eV/f.u.
volume = 491 Å³ per cell

Entry 4:
Below is a relaxed HgSeCl2 crystal, with properties calculated at the PBE-GGA level.

Cell lengths 4.4479, 3.5042, 8.8636 Å; angles 90.00, 95.29, 90.00 degrees
Last column: nearest neighbours and their distance in Å.
Element x y z (fractional)
Hg (0.0000, 0.0000, 0.0000)  2 Hg 3.50, 4 Cl 3.82
Se (0.5000, 0.0000, 0.5000)  4 Cl 2.48
Cl (0.3491, 0.5000, 0.6754)  2 Se 2.48
Cl (0.6509, 0.5000, 0.3246)  2 Se 2.48

Computed properties:
theoretical density = 4.230 Mg/m³
space group = P2/m
magnetization = 0.0 Bohr magnetons per cell
excess energy over the best structure of this formula in the dataset = 0.86 eV/f.u.
volume = 138 Å³ per cell
energy relative to the elements, uncorrected = -66 meV/atom

Entry 5:
Below is a relaxed ReSe2Br crystal, with properties calculated at the PBE-GGA level.

Cell lengths 4.9065, 4.9065, 3.1047 Å; angles 90.00, 90.00, 90.00 degrees
Last column: nearest neighbours and their distance in Å.
Element x y z (fractional)
Re (0.0000, 0.0000, 0.0000)  8 Se 2.90, 2 Re 3.10
Se (0.0000, 0.5000, 0.5000)  4 Br 2.90, 4 Re 2.90, 2 Se 3.10
Se (0.5000, 0.0000, 0.5000)  4 Br 2.90, 4 Re 2.90, 2 Se 3.10
Br (0.5000, 0.5000, 0.0000)  8 Se 2.90, 2 Br 3.10

Computed properties:
theoretical density = 9.421 Mg/m³
space group = P4/mmm
magnetization = 1.3 Bohr magnetons per cell
excess energy over the best structure of this formula in the dataset = 4.58 eV/f.u.
volume = 75 Å³ per cell
energy relative to the elements, uncorrected = 1135 meV/atom

Entry 6:
Below is a relaxed TmScTlIr crystal, with properties calculated at the PBE-GGA level.

Cell lengths 4.9278, 4.9278, 4.9278 Å; angles 60.00, 60.00, 60.00 degrees
Last column: nearest neighbours and their distance in Å.
Element x y z (fractional)
Tm (0.0000, 0.0000, 0.0000)  4 Tl 3.02, 4 Ir 3.02
Sc (0.5000, 0.5000, 0.5000)  4 Tl 3.02, 4 Ir 3.02
Tl (0.7500, 0.7500, 0.7500)  4 Tm 3.02, 4 Sc 3.02
Ir (0.2500, 0.2500, 0.2500)  4 Sc 3.02, 4 Tm 3.02

Computed properties:
theoretical density = 11.981 Mg/m³
space group = F-43m
magnetization = 0.0 Bohr magnetons per cell
excess energy over the best structure of this formula in the dataset = 0.55 eV/f.u.
formation energy = -2.02 eV/f.u.
volume = 85 Å³ per cell

Entry 7:
Below is a relaxed Pm5Dy4Ho3 crystal, with properties calculated at the PBE-GGA level.

Cell lengths 5.6959, 5.6959, 14.8795 Å; angles 106.29, 106.29, 61.12 degrees
Last column: nearest neighbours and their distance in Å.
Element x y z (fractional)
Pm (0.0000, 0.0000, 0.0000)  2 Ho 2.90, 2 Dy 3.13
Pm (0.3327, 0.3327, 0.5014)  4 Pm 3.30-3.56, 1 Ho 3.55, 1 Dy 3.69
Pm (0.4551, 0.4551, 0.7547)  4 Ho 3.29-3.53, 3 Dy 3.54-3.66, 1 Pm 3.56
Pm (0.5449, 0.5449, 0.2453)  4 Ho 3.29-3.53, 3 Dy 3.54-3.66, 1 Pm 3.56
Pm (0.6673, 0.6673, 0.4986)  4 Pm 3.30-3.56, 1 Ho 3.55, 1 Dy 3.69
Dy (0.0619, 0.0619, 0.6249)  2 Dy 3.30-3.51, 1 Pm 3.69, 1 Ho 3.69
Dy (0.1780, 0.1780, 0.8592)  1 Pm 3.13, 1 Ho 3.17, 1 Dy 3.30
Dy (0.8220, 0.8220, 0.1408)  1 Pm 3.13, 1 Ho 3.17, 1 Dy 3.30
Dy (0.9381, 0.9381, 0.3751)  2 Dy 3.30-3.51, 1 Pm 3.69, 1 Ho 3.69
Ho (0.2054, 0.2054, 0.2487)  5 Pm 3.29-3.59, 3 Dy 3.58-3.67
Ho (0.5000, 0.5000, 0.0000)  2 Pm 2.90, 2 Dy 3.17
Ho (0.7946, 0.7946, 0.7513)  5 Pm 3.29-3.59, 3 Dy 3.58-3.67

Computed properties:
theoretical density = 7.769 Mg/m³
space group = C2/m
magnetization = 0.0 Bohr magnetons per cell
excess energy over the best structure of this formula in the dataset = 2.57 eV/f.u.
formation energy = 2.75 eV/f.u.
volume = 400 Å³ per cell

Entry 8:
Below is a relaxed Sm2Er8Hg crystal, with properties calculated at the PBE-GGA level.

Cell lengths 10.0128, 10.0128, 6.3614 Å; angles 95.26, 95.26, 31.94 degrees
Last column: nearest neighbours and their distance in Å.
Element x y z (fractional)
Sm (0.2439, 0.2439, 0.3301)  9 Er 3.41-3.79, 2 Sm 3.50
Sm (0.7561, 0.7561, 0.6699)  9 Er 3.41-3.79, 2 Sm 3.50
Er (0.0434, 0.0434, 0.2670)  2 Hg 3.30, 6 Er 3.51-3.69
Er (0.1541, 0.1541, 0.8037)  5 Er 3.32-3.61, 4 Sm 3.53-3.62
Er (0.3422, 0.3422, 0.8748)  1 Hg 3.07, 2 Sm 3.41, 2 Er 3.43
Er (0.4229, 0.4229, 0.3956)  1 Hg 3.04, 3 Er 3.13-3.32
Er (0.5771, 0.5771, 0.6044)  1 Hg 3.04, 3 Er 3.13-3.32
Er (0.6578, 0.6578, 0.1252)  1 Hg 3.07, 2 Sm 3.41, 2 Er 3.43
Er (0.8459, 0.8459, 0.1963)  5 Er 3.32-3.61, 4 Sm 3.53-3.62
Er (0.9566, 0.9566, 0.7330)  2 Hg 3.30, 6 Er 3.51-3.69
Hg (0.5000, 0.5000, 0.0000)  8 Er 3.04-3.30

Computed properties:
theoretical density = 9.094 Mg/m³
space group = C2/m
magnetization = 0.0 Bohr magnetons per cell
formation energy = -0.48 eV/f.u.
volume = 336 Å³ per cell

- The highest theoretical density belongs to which entry?
  Pd6Pt23Pb

- Look up the theoretical density of the fifth one.
  9.421 Mg/m³

Please write out number 5 again, unchanged.
Below is a relaxed ReSe2Br crystal, with properties calculated at the PBE-GGA level.

Cell lengths 4.9065, 4.9065, 3.1047 Å; angles 90.00, 90.00, 90.00 degrees
Last column: nearest neighbours and their distance in Å.
Element x y z (fractional)
Re (0.0000, 0.0000, 0.0000)  8 Se 2.90, 2 Re 3.10
Se (0.0000, 0.5000, 0.5000)  4 Br 2.90, 4 Re 2.90, 2 Se 3.10
Se (0.5000, 0.0000, 0.5000)  4 Br 2.90, 4 Re 2.90, 2 Se 3.10
Br (0.5000, 0.5000, 0.0000)  8 Se 2.90, 2 Br 3.10

Computed properties:
theoretical density = 9.421 Mg/m³
space group = P4/mmm
magnetization = 1.3 Bohr magnetons per cell
excess energy over the best structure of this formula in the dataset = 4.58 eV/f.u.
volume = 75 Å³ per cell
energy relative to the elements, uncorrected = 1135 meV/atom

- Which of these has the highest volume?
  Pd6Pt23Pb